Record 1
Density functional theory data (PBE) for Hf2TiCd after structural relaxation.

The value obtained for the formation enthalpy at 0 K is 6.2 kJ per mole of atoms. The crystal system is trigonal.

It has space group R3m (No. 160, hexagonal axes), with a = 3.1103 Å, b = 3.1103 Å, c = 30.1167 Å, α = 90.00°, β = 90.00° and γ = 120.00°. The asymmetric unit holds Hf at (0.0000, 0.0000, 0.0000), Hf at (0.0000, 0.0000, 0.1754), Ti at (0.0000, 0.0000, 0.5874) and Cd at (0.0000, 0.0000, 0.7542).

Record 2
Density functional theory data (PBE) for Hf2TiCd after structural relaxation.

The value obtained for the formation enthalpy at 0 K is 3.5 kJ per mole of atoms. The crystal system is tetragonal.

It has space group P4/mmm (No. 123), with a = 4.3452 Å, b = 4.3452 Å, c = 4.3069 Å, α = 90.00°, β = 90.00° and γ = 90.00°. The asymmetric unit holds Hf at (0.0000, 0.5000, 0.0000), Ti at (0.0000, 0.0000, 0.5000) and Cd at (0.5000, 0.5000, 0.5000).

Record 3
Density functional theory data (PBE) for HfTiCd after structural relaxation.

For the energy above the lowest structure with this stoichiometry, the calculation gives 0 meV/atom. The value obtained for the formation enthalpy at 0 K is -1.4 kJ per mole of atoms. The crystal system is tetragonal.

It has space group P4/nmm (No. 129, origin choice 2), with a = 3.0094 Å, b = 3.0094 Å, c = 13.3979 Å, α = 90.00°, β = 90.00° and γ = 90.00°. The asymmetric unit holds Hf at (0.2500, 0.2500, 0.2314), Ti at (0.2500, 0.2500, 0.9254) and Cd at (0.2500, 0.2500, 0.5884).

Record 4
Density functional theory data (PBE) for Hf2Ti2Cd after structural relaxation.

For the energy above the lowest structure with this stoichiometry, the calculation gives 245 meV/atom. The value obtained for the formation enthalpy at 0 K is 24.2 kJ per mole of atoms. The crystal system is tetragonal.

It has space group P4/mbm (No. 127), with a = 7.6059 Å, b = 7.6059 Å, c = 3.5936 Å, α = 90.00°, β = 90.00° and γ = 90.00°. The asymmetric unit holds Hf at (0.1354, 0.3646, 0.0000), Ti at (0.1577, 0.6577, 0.5000) and Cd at (0.0000, 0.0000, 0.0000).

Record 5
Density functional theory data (PBE) for HfTiTlCd after structural relaxation.

The value obtained for the formation enthalpy at 0 K is 17.0 kJ per mole of atoms. The crystal system is cubic.

It has space group F-43m (No. 216), with a = 6.9197 Å, b = 6.9197 Å, c = 6.9197 Å, α = 90.00°, β = 90.00° and γ = 90.00°. The asymmetric unit holds Hf at (0.0000, 0.0000, 0.0000), Ti at (0.0000, 0.0000, 0.5000), Tl at (0.2500, 0.2500, 0.7500) and Cd at (0.2500, 0.2500, 0.2500).

Record 6
Density functional theory data (PBE) for HfZrTiCd after structural relaxation.

The value obtained for the formation enthalpy at 0 K is -5.7 kJ per mole of atoms. The crystal system is tetragonal.

It has space group P4mm (No. 99), with a = 3.0382 Å, b = 3.0382 Å, c = 9.0502 Å, α = 90.00°, β = 90.00° and γ = 90.00°. The asymmetric unit holds Hf at (0.0000, 0.0000, 0.0000), Zr at (0.0000, 0.0000, 0.4624), Ti at (0.5000, 0.5000, 0.2258) and Cd at (0.5000, 0.5000, 0.7325).

Record 7
Density functional theory data (PBE) for Hf2TlCd after structural relaxation.

The value obtained for the formation enthalpy at 0 K is 51.9 kJ per mole of atoms. The crystal system is trigonal.

It has space group R3m (No. 160, hexagonal axes), with a = 4.3844 Å, b = 4.3844 Å, c = 18.4125 Å, α = 90.00°, β = 90.00° and γ = 120.00°. The asymmetric unit holds Hf at (0.0000, 0.0000, 0.0000), Hf at (0.0000, 0.0000, 0.1795), Tl at (0.0000, 0.0000, 0.5904) and Cd at (0.0000, 0.0000, 0.7604).

Record 8
Density functional theory data (PBE) for HfTlCd2 after structural relaxation.

For the energy above the lowest structure with this stoichiometry, the calculation gives 312 meV/atom. The value obtained for the formation enthalpy at 0 K is 35.0 kJ per mole of atoms. The crystal system is trigonal.

It has space group R-3m (No. 166, hexagonal axes), with a = 3.1990 Å, b = 3.1990 Å, c = 34.1391 Å, α = 90.00°, β = 90.00° and γ = 120.00°. The asymmetric unit holds Hf at (0.0000, 0.0000, 0.0000), Tl at (0.0000, 0.0000, 0.5000) and Cd at (0.0000, 0.0000, 0.0864).

Record 9
Density functional theory data (PBE) for Hf2TlCd after structural relaxation.

The value obtained for the formation enthalpy at 0 K is 14.4 kJ per mole of atoms. The crystal system is tetragonal.

It has space group P4/mmm (No. 123), with a = 3.7472 Å, b = 3.7472 Å, c = 6.2362 Å, α = 90.00°, β = 90.00° and γ = 90.00°. The asymmetric unit holds Hf at (0.0000, 0.0000, 0.2480), Tl at (0.5000, 0.5000, 0.5000) and Cd at (0.5000, 0.5000, 0.0000).

Record 10
Density functional theory data (PBE) for HfTlCd3 after structural relaxation.

For the energy above the lowest structure with this stoichiometry, the calculation gives 291 meV/atom. The value obtained for the formation enthalpy at 0 K is 101.3 kJ per mole of atoms. The crystal system is cubic.

It has space group Pm-3m (No. 221), with a = 5.3498 Å, b = 5.3498 Å, c = 5.3498 Å, α = 90.00°, β = 90.00° and γ = 90.00°. The asymmetric unit holds Hf at (0.0000, 0.0000, 0.0000), Tl at (0.5000, 0.5000, 0.5000) and Cd at (0.0000, 0.5000, 0.5000).

Record 11
Density functional theory data (PBE) for Hf9Tl2Cd after structural relaxation.

The value obtained for the formation enthalpy at 0 K is 0.6 kJ per mole of atoms. The crystal system is tetragonal.

It has space group P4/mmm (No. 123), with a = 4.4344 Å, b = 4.4344 Å, c = 13.2906 Å, α = 90.00°, β = 90.00° and γ = 90.00°. The asymmetric unit holds Hf at (0.0000, 0.0000, 0.0000), Hf at (0.0000, 0.0000, 0.3327), Hf at (0.0000, 0.5000, 0.1649), Hf at (0.0000, 0.5000, 0.5000), Tl at (0.5000, 0.5000, 0.3320) and Cd at (0.5000, 0.5000, 0.0000).

Record 12
Density functional theory data (PBE) for HfTlCd3 after structural relaxation.

For the energy above the lowest structure with this stoichiometry, the calculation gives 0 meV/atom. The value obtained for the formation enthalpy at 0 K is 73.2 kJ per mole of atoms. The crystal system is cubic.

It has space group Pm-3m (No. 221), with a = 5.6579 Å, b = 5.6579 Å, c = 5.6579 Å, α = 90.00°, β = 90.00° and γ = 90.00°. The asymmetric unit holds Hf at (0.0000, 0.0000, 0.0000), Tl at (0.5000, 0.5000, 0.5000) and Cd at (0.0000, 0.0000, 0.5000).

Record 13
Density functional theory data (PBE) for Hf7Tl3Cd after structural relaxation.

The value obtained for the formation enthalpy at 0 K is 38.4 kJ per mole of atoms. The crystal system is monoclinic.

It has space group C2/m (No. 12), with a = 10.9191 Å, b = 10.1032 Å, c = 5.3213 Å, α = 90.00°, β = 115.36° and γ = 90.00°. The asymmetric unit holds Hf at (0.0000, 0.0000, 0.0000), Hf at (0.2094, 0.2956, 0.7137), Hf at (0.2126, 0.5000, 0.1569), Tl at (0.0000, 0.2863, 0.0000), Tl at (0.0000, 0.5000, 0.5000) and Cd at (0.0000, 0.0000, 0.5000).

Record 14
Density functional theory data (PBE) for Hf15Tl2Cd2 after structural relaxation.

The value obtained for the formation enthalpy at 0 K is 43.8 kJ per mole of atoms. The crystal system is trigonal.

It has space group R-3m (No. 166, hexagonal axes), with a = 10.0432 Å, b = 10.0432 Å, c = 15.5335 Å, α = 90.00°, β = 90.00° and γ = 120.00°. The asymmetric unit holds Hf at (0.0000, 0.3034, 0.0000), Hf at (0.0000, 0.5000, 0.5000), Hf at (0.0184, 0.5092, 0.1425), Tl at (0.0000, 0.0000, 0.3263) and Cd at (0.0000, 0.0000, 0.0963).

Record 15
Density functional theory data (PBE) for HfTlCd2 after structural relaxation.

For the energy above the lowest structure with this stoichiometry, the calculation gives 21 meV/atom. The value obtained for the formation enthalpy at 0 K is 6.8 kJ per mole of atoms. The crystal system is tetragonal.

It has space group P4/mmm (No. 123), with a = 3.2283 Å, b = 3.2283 Å, c = 9.0597 Å, α = 90.00°, β = 90.00° and γ = 90.00°. The asymmetric unit holds Hf at (0.0000, 0.0000, 0.0000), Tl at (0.0000, 0.0000, 0.5000) and Cd at (0.5000, 0.5000, 0.2303).

Record 16
Density functional theory data (PBE) for Hf3TlCd after structural relaxation.

For the energy above the lowest structure with this stoichiometry, the calculation gives 0 meV/atom. The value obtained for the formation enthalpy at 0 K is 104.9 kJ per mole of atoms. The crystal system is cubic.

It has space group Pm-3m (No. 221), with a = 5.1772 Å, b = 5.1772 Å, c = 5.1772 Å, α = 90.00°, β = 90.00° and γ = 90.00°. The asymmetric unit holds Hf at (0.0000, 0.0000, 0.5000), Tl at (0.5000, 0.5000, 0.5000) and Cd at (0.0000, 0.0000, 0.0000).

Record 17
Density functional theory data (PBE) for HfTl3Cd after structural relaxation.

For the energy above the lowest structure with this stoichiometry, the calculation gives 367 meV/atom. The value obtained for the formation enthalpy at 0 K is 92.7 kJ per mole of atoms. The crystal system is cubic.

It has space group Pm-3m (No. 221), with a = 5.4686 Å, b = 5.4686 Å, c = 5.4686 Å, α = 90.00°, β = 90.00° and γ = 90.00°. The asymmetric unit holds Hf at (0.0000, 0.0000, 0.0000), Tl at (0.0000, 0.5000, 0.5000) and Cd at (0.5000, 0.5000, 0.5000).

Record 18
Density functional theory data (PBE) for HfTlCd2 after structural relaxation.

For the energy above the lowest structure with this stoichiometry, the calculation gives 0 meV/atom. The value obtained for the formation enthalpy at 0 K is 4.9 kJ per mole of atoms. The crystal system is tetragonal.

It has space group P4/mmm (No. 123), with a = 4.3822 Å, b = 4.3822 Å, c = 4.5653 Å, α = 90.00°, β = 90.00° and γ = 90.00°. The asymmetric unit holds Hf at (0.0000, 0.0000, 0.0000), Tl at (0.5000, 0.5000, 0.0000) and Cd at (0.0000, 0.5000, 0.5000).

Record 19
Density functional theory data (PBE) for HfTlCd2 after structural relaxation.

For the energy above the lowest structure with this stoichiometry, the calculation gives 48 meV/atom. The value obtained for the formation enthalpy at 0 K is 9.4 kJ per mole of atoms. The crystal system is trigonal.

It has space group R3m (No. 160, hexagonal axes), with a = 3.2279 Å, b = 3.2279 Å, c = 31.5092 Å, α = 90.00°, β = 90.00° and γ = 120.00°. The asymmetric unit holds Hf at (0.0000, 0.0000, 0.0000), Tl at (0.0000, 0.0000, 0.8336), Cd at (0.0000, 0.0000, 0.2541) and Cd at (0.0000, 0.0000, 0.4130).

Record 20
Density functional theory data (PBE) for Hf2TlCd after structural relaxation.

The value obtained for the formation enthalpy at 0 K is 5.6 kJ per mole of atoms. The crystal system is tetragonal.

It has space group P4/mmm (No. 123), with a = 4.4319 Å, b = 4.4319 Å, c = 4.4190 Å, α = 90.00°, β = 90.00° and γ = 90.00°. The asymmetric unit holds Hf at (0.0000, 0.5000, 0.0000), Tl at (0.0000, 0.0000, 0.5000) and Cd at (0.5000, 0.5000, 0.5000).

Number 1: E -7.115 eV per atom. Number 2: E -7.143 eV per atom. Number 3: E -6.269 eV per atom. Number 4: E -7.071 eV per atom. Number 5: E -5.106 eV per atom. Number 6: E -6.887 eV per atom. Number 7: E -5.259 eV per atom. Number 8: E -3.175 eV per atom. Number 9: E -5.648 eV per atom. Number 10: E -1.963 eV per atom. Number 11: E -7.930 eV per atom. Number 12: E -2.255 eV per atom. Number 13: E -6.665 eV per atom. Number 14: E -7.750 eV per atom. Number 15: E -3.467 eV per atom. Number 16: E -5.541 eV per atom. Number 17: E -2.632 eV per atom. Number 18: E -3.487 eV per atom. Number 19: E -3.440 eV per atom. Number 20: E -5.739 eV per atom.